Computed, not measured: DyTm3Tl2C2 after structural relaxation at the PBE level of DFT.

The space group is P3m1. The final energy is -5.5555 eV per atom.

Geometry as POSCAR:
```
DyTm3Tl2C2
1.0
3.5720 0.0000 0.0000
-1.7860 3.0935 0.0000
0.0000 0.0000 16.1116
Tm Tl Dy C
3 2 1 2
direct
0.3333 0.6667 0.5824
0.0000 0.0000 0.4182
0.3333 0.6667 0.9162
0.3333 0.6667 0.2516
0.0000 0.0000 0.7498
0.0000 0.0000 0.0828
0.6667 0.3333 0.9987
0.6667 0.3333 0.5002
```